Record 1
Computed, not measured: a geometry-optimized NpMoIr structure at the GGA-PBE level of DFT.

a b c (Å): 4.404 4.404 4.404
angles (deg): 60.00 60.00 60.00
Each line ends with the local moment (μB).
Positions (direct):
Ir: 0.500 0.500 0.500  -0.05
Mo: 0.000 0.000 0.000  -0.19
Np: 0.250 0.250 0.250  2.27

Summary:
The value obtained for the formation energy is 0.60 eV per atom. As for the space-group type: F-43m. The value obtained for the total energy is -30.7 eV per cell.

---

Record 2
Computed, not measured: a geometry-optimized NpMoIr structure at the GGA-PBE level of DFT.

a b c (Å): 4.372 4.372 4.372
angles (deg): 60.00 60.00 60.00
Each line ends with the local moment (μB).
Positions (direct):
Ir: 0.500 0.500 0.500  -0.07
Mo: 0.250 0.250 0.250  -0.10
Np: 0.000 0.000 0.000  2.92

Summary:
The value obtained for the formation energy is 0.41 eV per atom. As for the space-group type: F-43m. The value obtained for the total energy is -31.2 eV per cell.

---

Record 3
Computed, not measured: a geometry-optimized Mo2IrOs5 structure at the GGA-PBE level of DFT.

a b c (Å): 4.396 5.540 5.540
angles (deg): 60.01 90.00 90.00
Positions (direct):
Ir: 0.500 0.834 0.834
Mo: 0.500 0.335 0.335
Mo: 0.000 0.666 0.666
Os: 0.000 0.167 0.167
Os: 0.000 0.668 0.168
Os: 0.500 0.829 0.334
Os: 0.000 0.168 0.668
Os: 0.500 0.334 0.829

Summary:
The value obtained for the formation energy is -0.12 eV per atom. As for the space-group type: Amm2. The value obtained for the total energy is -87.6 eV per cell.

---

Record 4
Computed, not measured: a geometry-optimized Mo2Ir2Pb3 structure at the GGA-PBE level of DFT.

a b c (Å): 8.360 8.360 8.360
angles (deg): 32.00 32.00 32.00
Positions (direct):
Ir: 0.005 0.005 0.005
Ir: 0.503 0.503 0.503
Mo: 0.246 0.246 0.246
Mo: 0.747 0.747 0.747
Pb: 0.386 0.386 0.386
Pb: 0.625 0.625 0.625
Pb: 0.863 0.863 0.863

Summary:
As for the space-group type: R3m. The value obtained for the total energy is -43.9 eV per cell.

---

Record 5
Computed, not measured: a geometry-optimized MoIr2Pb structure at the GGA-PBE level of DFT.

a b c (Å): 4.576 4.576 4.576
angles (deg): 60.00 60.00 60.00
Positions (direct):
Ir: 0.000 0.000 0.000
Ir: 0.750 0.750 0.750
Mo: 0.250 0.250 0.250
Pb: 0.500 0.500 0.500

Summary:
As for the space-group type: F-43m. The value obtained for the total energy is -30.2 eV per cell.

---

Record 6
Computed, not measured: a geometry-optimized MoIr2Pd structure at the GGA-PBE level of DFT.

a b c (Å): 4.418 4.418 4.418
angles (deg): 60.00 60.00 60.00
Positions (direct):
Ir: 0.000 0.000 0.000
Ir: 0.750 0.750 0.750
Mo: 0.250 0.250 0.250
Pd: 0.500 0.500 0.500

Summary:
The value obtained for the formation energy is 0.27 eV per atom. As for the space-group type: F-43m. The value obtained for the total energy is -32.7 eV per cell.

---

Record 7
Computed, not measured: a geometry-optimized MoIr2Pd structure at the GGA-PBE level of DFT.

a b c (Å): 4.440 5.559 5.559
angles (deg): 120.22 90.00 90.00
Positions (direct):
Ir: 0.250 0.329 0.170
Ir: 0.250 0.835 0.172
Ir: 0.750 0.170 0.329
Ir: 0.750 0.172 0.835
Mo: 0.750 0.671 0.331
Mo: 0.250 0.331 0.671
Pd: 0.250 0.830 0.663
Pd: 0.750 0.663 0.830

Summary:
The value obtained for the formation energy is -0.18 eV per atom. As for the space-group type: Ama2. The value obtained for the total energy is -68.9 eV per cell.

---

Record 8
Computed, not measured: a geometry-optimized Mo2IrPd structure at the GGA-PBE level of DFT.

a b c (Å): 4.432 4.432 4.432
angles (deg): 60.00 60.00 60.00
Positions (direct):
Ir: 0.500 0.500 0.500
Mo: 0.000 0.000 0.000
Mo: 0.250 0.250 0.250
Pd: 0.750 0.750 0.750

Summary:
The value obtained for the formation energy is 0.14 eV per atom. As for the space-group type: F-43m. The value obtained for the total energy is -35.2 eV per cell.

---

Record 9
Computed, not measured: a geometry-optimized Mo2IrPd structure at the GGA-PBE level of DFT.

a b c (Å): 2.765 4.464 4.887
angles (deg): 90.00 90.00 90.00
Positions (direct):
Ir: 0.000 0.000 0.168
Mo: 0.500 0.500 0.332
Mo: 0.500 0.000 0.669
Pd: 0.000 0.500 0.831

Summary:
The value obtained for the formation energy is -0.16 eV per atom. As for the space-group type: Pmm2. The value obtained for the total energy is -36.4 eV per cell.

---

Record 10
Computed, not measured: a geometry-optimized MoIrPd2 structure at the GGA-PBE level of DFT.

a b c (Å): 4.504 5.512 5.512
angles (deg): 60.59 90.00 90.00
Positions (direct):
Ir: 0.000 0.656 0.166
Ir: 0.000 0.166 0.656
Mo: 0.500 0.337 0.337
Mo: 0.000 0.665 0.665
Pd: 0.000 0.164 0.164
Pd: 0.500 0.835 0.342
Pd: 0.500 0.342 0.835
Pd: 0.500 0.835 0.835

Summary:
The value obtained for the formation energy is -0.09 eV per atom. As for the space-group type: Amm2. The value obtained for the total energy is -60.8 eV per cell.

---

Record 11
Computed, not measured: a geometry-optimized Mo2Ir3Pd3 structure at the GGA-PBE level of DFT.

a b c (Å): 5.540 5.540 4.471
angles (deg): 90.00 90.00 120.00
Positions (direct):
Ir: 0.165 0.330 0.500
Ir: 0.165 0.835 0.500
Ir: 0.670 0.835 0.500
Mo: 0.000 0.000 0.000
Mo: 0.667 0.333 0.500
Pd: 0.501 0.002 0.000
Pd: 0.501 0.499 0.000
Pd: 0.998 0.499 0.000

Summary:
The value obtained for the formation energy is -0.14 eV per atom. As for the space-group type: P-6m2. The value obtained for the total energy is -64.9 eV per cell.

---

Record 12
Computed, not measured: a geometry-optimized MoIrPd2 structure at the GGA-PBE level of DFT.

a b c (Å): 4.485 5.532 5.532
angles (deg): 119.64 90.00 90.00
Positions (direct):
Ir: 0.750 0.831 0.655
Ir: 0.250 0.655 0.831
Mo: 0.250 0.669 0.340
Mo: 0.750 0.340 0.669
Pd: 0.750 0.835 0.165
Pd: 0.750 0.338 0.166
Pd: 0.250 0.166 0.338
Pd: 0.250 0.165 0.835

Summary:
The value obtained for the formation energy is -0.09 eV per atom. As for the space-group type: Ama2. The value obtained for the total energy is -60.8 eV per cell.